# Al2SbPtF (PBE, optimized geometry)
data_Al2SbPtF
_cell_length_a 4.884
_cell_length_b 4.884
_cell_length_c 4.275
_cell_angle_alpha 90.00
_cell_angle_beta 90.00
_cell_angle_gamma 90.00
_symmetry_space_group_name_H-M 'P 4/m m m'
_symmetry_Int_Tables_number 123
_symmetry_space_group_name_Hall '-P 4 2'
loop_
_atom_site_label
_atom_site_type_symbol
_atom_site_fract_x
_atom_site_fract_y
_atom_site_fract_z
Al1 Al 0.000 0.500 0.000
Sb1 Sb 0.000 0.000 0.500
Pt1 Pt 0.500 0.500 0.000
F1 F 0.500 0.500 0.500
# - E_form (uncorrected): -27.79 kJ per mole of atoms
# - DOS(E_F): 3.07 states/eV per cell

# TaAlPt2F (PBE, optimized geometry)
data_TaAlPt2F
_cell_length_a 5.002
_cell_length_b 5.002
_cell_length_c 3.203
_cell_angle_alpha 90.00
_cell_angle_beta 90.00
_cell_angle_gamma 90.00
_symmetry_space_group_name_H-M 'P 4/m m m'
_symmetry_Int_Tables_number 123
_symmetry_space_group_name_Hall '-P 4 2'
loop_
_atom_site_label
_atom_site_type_symbol
_atom_site_fract_x
_atom_site_fract_y
_atom_site_fract_z
Ta1 Ta 0.000 0.000 0.000
Al1 Al 0.500 0.500 0.000
Pt1 Pt 0.000 0.500 0.500
F1 F 0.500 0.500 0.500
# - E_form (uncorrected): -17.56 kJ per mole of atoms
# - DOS(E_F): 2.98 states/eV per cell